No. 1
First-principles (PBE-GGA) data for crystalline CsPmSO at its relaxed geometry, as listed in OQMD via LeMat-Bulk.

Values from the calculation:
- relative energy among the computed polymorphs (eV per atom) = 0.0000
- total magnetic moment (μB/f.u.) = 0.00

a = 8.211 Å, b = 7.592 Å, c = 6.854 Å
α = 90.00°, β = 104.04°, γ = 90.00°
Fractional coordinates of all 16 atoms:
O 0.401 0.645 0.880
O 0.599 0.355 0.120
O 0.401 0.855 0.380
O 0.599 0.145 0.620
Pm 0.477 0.129 0.274
Pm 0.477 0.371 0.774
Pm 0.523 0.871 0.726
Pm 0.523 0.629 0.226
Cs 0.078 0.761 0.501
Cs 0.078 0.739 0.001
Cs 0.922 0.239 0.499
Cs 0.922 0.261 0.999
S 0.269 0.407 0.357
S 0.731 0.907 0.143
S 0.269 0.093 0.857
S 0.731 0.593 0.643

---

No. 2
First-principles (PBE-GGA) data for crystalline Tc3IN at its relaxed geometry, as listed in OQMD via LeMat-Bulk.

Values from the calculation:
- total magnetic moment (μB/f.u.) = 3.73
- raw total energy (eV for the cell shown) = -58.494

a = 6.678 Å, b = 6.678 Å, c = 6.678 Å
α = 121.99°, β = 121.99°, γ = 86.59°
Fractional coordinates of all 10 atoms:
Tc 0.119 0.619 0.737
Tc 0.250 0.250 0.000
Tc 0.381 0.119 0.500
Tc 0.750 0.750 0.000
Tc 0.619 0.881 0.500
Tc 0.881 0.381 0.263
N 0.750 0.250 0.500
N 0.250 0.750 0.500
I 0.500 0.500 0.000
I 0.000 0.000 0.000

---

No. 3
First-principles (PBE-GGA) data for crystalline CdGeB at its relaxed geometry, as listed in OQMD via LeMat-Bulk.

Values from the calculation:
- relative energy among the computed polymorphs (eV per atom) = 0.0000

a = 4.153 Å, b = 4.153 Å, c = 4.153 Å
α = 60.00°, β = 60.00°, γ = 60.00°
Fractional coordinates of all 3 atoms:
B 0.000 0.000 0.000
Cd 0.250 0.250 0.250
Ge 0.750 0.750 0.750

---

No. 4
First-principles (PBE-GGA) data for crystalline Cu5Ag4 at its relaxed geometry, as listed in OQMD via LeMat-Bulk.

Values from the calculation:
- relative energy among the computed polymorphs (eV per atom) = 0.0561
- energy of formation from the pure elements (eV per atom) = 0.097

a = 4.784 Å, b = 4.784 Å, c = 8.253 Å
α = 107.98°, β = 107.98°, γ = 47.67°
Fractional coordinates of all 9 atoms:
Ag 0.667 0.667 0.221
Ag 0.006 0.006 0.344
Ag 0.002 0.002 0.675
Ag 0.325 0.325 0.092
Cu 0.336 0.336 0.459
Cu 0.666 0.666 0.880
Cu 0.675 0.675 0.568
Cu 0.990 0.990 0.987
Cu 0.333 0.333 0.773

---

What is the formula in the fourth record?
Cu5Ag4

---

Repeat the first record exactly.
First-principles (PBE-GGA) data for crystalline CsPmSO at its relaxed geometry, as listed in OQMD via LeMat-Bulk.

Values from the calculation:
- relative energy among the computed polymorphs (eV per atom) = 0.0000
- total magnetic moment (μB/f.u.) = 0.00

a = 8.211 Å, b = 7.592 Å, c = 6.854 Å
α = 90.00°, β = 104.04°, γ = 90.00°
Fractional coordinates of all 16 atoms:
O 0.401 0.645 0.880
O 0.599 0.355 0.120
O 0.401 0.855 0.380
O 0.599 0.145 0.620
Pm 0.477 0.129 0.274
Pm 0.477 0.371 0.774
Pm 0.523 0.871 0.726
Pm 0.523 0.629 0.226
Cs 0.078 0.761 0.501
Cs 0.078 0.739 0.001
Cs 0.922 0.239 0.499
Cs 0.922 0.261 0.999
S 0.269 0.407 0.357
S 0.731 0.907 0.143
S 0.269 0.093 0.857
S 0.731 0.593 0.643

---

Please write out number 4 again, unchanged.
First-principles (PBE-GGA) data for crystalline Cu5Ag4 at its relaxed geometry, as listed in OQMD via LeMat-Bulk.

Values from the calculation:
- relative energy among the computed polymorphs (eV per atom) = 0.0561
- energy of formation from the pure elements (eV per atom) = 0.097

a = 4.784 Å, b = 4.784 Å, c = 8.253 Å
α = 107.98°, β = 107.98°, γ = 47.67°
Fractional coordinates of all 9 atoms:
Ag 0.667 0.667 0.221
Ag 0.006 0.006 0.344
Ag 0.002 0.002 0.675
Ag 0.325 0.325 0.092
Cu 0.336 0.336 0.459
Cu 0.666 0.666 0.880
Cu 0.675 0.675 0.568
Cu 0.990 0.990 0.987
Cu 0.333 0.333 0.773